Record 1
# Li2PrTh PBE optimized geometry
data_Li2PrTh
_chemical_formula_sum 'Li2 Pr1 Th1'
_space_group_name_H-M_alt 'P 4/m m m'
_space_group_IT_number 123
_space_group_name_Hall '-P 4 2'
_cell_length_a 3.6827
_cell_length_b 3.6827
_cell_length_c 7.7231
_cell_angle_alpha 90.00
_cell_angle_beta 90.00
_cell_angle_gamma 90.00
loop_
_atom_site_label
_atom_site_fract_x
_atom_site_fract_y
_atom_site_fract_z
_atom_site_occupancy
Li1 0.0000 0.0000 0.2473 1
Pr1 0.5000 0.5000 0.5000 1
Th1 0.5000 0.5000 0.0000 1
# Energy relative to the lowest polymorph listed for this composition, meV/atom: 0.0
# Magnetization, μB per formula unit: 0.000

=====

Record 2
# Ni2IrPdN PBE optimized geometry
data_Ni2IrPdN
_chemical_formula_sum 'Ni2 Ir1 Pd1 N1'
_space_group_name_H-M_alt 'P 4/m m m'
_space_group_IT_number 123
_space_group_name_Hall '-P 4 2'
_cell_length_a 3.8983
_cell_length_b 3.8983
_cell_length_c 3.9391
_cell_angle_alpha 90.00
_cell_angle_beta 90.00
_cell_angle_gamma 90.00
loop_
_atom_site_label
_atom_site_fract_x
_atom_site_fract_y
_atom_site_fract_z
_atom_site_occupancy
Ni1 0.0000 0.5000 0.0000 1
Ir1 0.0000 0.0000 0.5000 1
Pd1 0.5000 0.5000 0.5000 1
N1 0.0000 0.0000 0.0000 1
# ΔE_f (raw), eV/atom: 0.195
# Magnetization, μB per formula unit: 1.167

=====

Record 3
# CePr3Nd3S8 PBE optimized geometry
data_CePr3Nd3S8
_chemical_formula_sum 'Ce3 Pr9 Nd9 S24'
_space_group_name_H-M_alt 'R -3 m'
_space_group_IT_number 166
_space_group_name_Hall '-R 3 2"'
_cell_length_a 8.1576
_cell_length_b 8.1576
_cell_length_c 20.0077
_cell_angle_alpha 90.00
_cell_angle_beta 90.00
_cell_angle_gamma 120.00
loop_
_atom_site_label
_atom_site_fract_x
_atom_site_fract_y
_atom_site_fract_z
_atom_site_occupancy
Ce1 0.0000 0.0000 0.0000 1
Pr1 0.0000 0.5000 0.5000 1
Nd1 0.0000 0.5000 0.0000 1
S1 0.0000 0.0000 0.2510 1
S2 0.0016 0.5008 0.7485 1
# ΔE_f (raw), eV/atom: -2.021
# Magnetization, μB per formula unit: 1.541

=====

Record 4
# CuP3O9 PBE optimized geometry
data_CuP3O9
_chemical_formula_sum 'Cu4 P12 O36'
_space_group_name_H-M_alt 'P -1'
_space_group_IT_number 2
_space_group_name_Hall '-P 1'
_cell_length_a 9.6069
_cell_length_b 9.7575
_cell_length_c 10.1052
_cell_angle_alpha 101.46
_cell_angle_beta 118.23
_cell_angle_gamma 107.26
loop_
_atom_site_label
_atom_site_fract_x
_atom_site_fract_y
_atom_site_fract_z
_atom_site_occupancy
Cu1 0.1461 0.3169 0.4365 1
Cu2 0.3109 0.0488 0.0947 1
P1 0.0014 0.8722 0.1200 1
P2 0.0642 0.7762 0.4039 1
P3 0.1377 0.5670 0.7212 1
P4 0.2894 0.3575 0.2243 1
P5 0.4630 0.7859 0.0423 1
P6 0.4976 0.3089 0.6878 1
O1 0.0097 0.5946 0.3150 1
O2 0.0299 0.1865 0.7564 1
O3 0.0383 0.2032 0.5202 1
O4 0.0673 0.6887 0.7206 1
O5 0.0745 0.0120 0.9075 1
O6 0.1138 0.2885 0.0425 1
O7 0.1933 0.9293 0.1802 1
O8 0.2117 0.5423 0.6239 1
O9 0.2575 0.4266 0.3506 1
O10 0.2582 0.8760 0.5167 1
O11 0.2826 0.6236 0.9159 1
O12 0.3233 0.2529 0.5224 1
O13 0.3565 0.2379 0.2508 1
O14 0.3734 0.7410 0.3154 1
O15 0.4220 0.5007 0.2237 1
O16 0.4219 0.9174 0.0866 1
O17 0.4226 0.1921 0.0218 1
O18 0.4428 0.2610 0.8073 1
# Energy relative to the lowest polymorph listed for this composition, meV/atom: 27.1
# ΔE_f (raw), eV/atom: -1.687
# Magnetization, μB per formula unit: 1.074